Below is crystalline Mg2SiF at its relaxed geometry, with properties calculated at the PBE level.

* density of states at the Fermi level: 1.2 states/eV/f.u.
* E_form (uncorrected): -0.897 eV per atom
* raw total energy: -28.143 eV per cell
* total moment: 0.000 μB/atom
* polymorph energy (0 for the lowest one): 0.0 meV/atom

Structure (POSCAR):
```
Mg2SiF
1.0
-2.669 2.669 5.563
2.669 -2.669 5.563
2.669 2.669 -5.563
Mg Si F
4 2 2
direct
0.042 0.625 0.917
0.375 0.292 0.417
0.708 0.125 0.083
0.875 0.958 0.583
0.250 0.750 0.500
0.500 0.500 0.000
0.000 0.000 0.000
0.750 0.250 0.500
```


Below is crystalline MgSiTe2F at its relaxed geometry, with properties calculated at the PBE level.

* density of states at the Fermi level: 4.9 states/eV/f.u.
* E_form (uncorrected): 0.330 eV per atom
* raw total energy: -13.524 eV per cell
* total moment: 0.000 μB/atom

Structure (POSCAR):
```
MgSiTe2F
1.0
5.284 0.000 0.000
0.000 5.284 0.000
0.000 0.000 5.075
Mg Si Te F
1 1 2 1
direct
0.000 0.000 0.000
0.000 0.000 0.500
0.000 0.500 0.000
0.500 0.000 0.000
0.500 0.500 0.500
```


Question: What is the formula in the first record?
Answer: Mg2SiF